# 1
Tb3HoIn3: relaxed, PBE-GGA.

Computed properties:
As for the offset from the most stable computed form: 0.0 meV per atom. The formation energy from the elements comes out at -0.326 eV per atom.

Geometry as extended XYZ:
```
14
Lattice="9.362 0.000 0.000 -4.681 8.108 0.000 0.000 0.000 5.171" Properties=species:S:1:pos:R:3 pbc="T T T"
Tb -3.568 6.225 1.293
Tb 1.074 1.906 1.293
Tb 2.188 0.023 3.878
Tb 2.493 8.086 1.293
Tb 3.607 6.202 3.878
Tb 8.249 1.884 3.878
Ho 0.000 5.405 1.293
Ho 4.681 2.703 3.878
In -2.215 4.995 3.878
In 1.463 3.692 3.878
In 3.929 0.579 1.293
In 0.752 7.529 3.878
In 3.218 4.416 1.293
In 6.896 3.113 1.293
```

=====

# 2
TbHo14In: relaxed, PBE-GGA.

Computed properties:
The formation energy from the elements comes out at -0.025 eV per atom.

Geometry as extended XYZ:
```
16
Lattice="6.997 0.000 0.000 0.000 6.997 0.000 0.000 0.000 9.938" Properties=species:S:1:pos:R:3 pbc="T T T"
Tb 0.000 0.000 0.000
Ho 0.000 0.000 4.969
Ho 0.000 3.498 0.000
Ho 0.000 3.498 4.969
Ho 1.750 1.750 2.469
Ho 1.750 1.750 7.469
Ho 1.750 5.246 2.469
Ho 1.750 5.246 7.469
Ho 3.498 0.000 0.000
Ho 3.498 0.000 4.969
Ho 3.498 3.498 4.969
Ho 5.246 1.750 2.469
Ho 5.246 1.750 7.469
Ho 5.246 5.246 2.469
Ho 5.246 5.246 7.469
In 3.498 3.498 0.000
```

=====

# 3
Tb7Ho3In: relaxed, PBE-GGA.

Computed properties:
The formation energy from the elements comes out at 0.116 eV per atom.

Geometry as extended XYZ:
```
11
Lattice="6.961 0.000 0.000 -3.480 6.028 0.000 0.000 0.000 8.489" Properties=species:S:1:pos:R:3 pbc="T T T"
Tb 0.000 0.000 0.000
Tb 0.000 1.975 2.857
Tb -1.770 5.041 2.857
Tb 3.480 0.020 0.091
Tb 1.757 3.004 0.091
Tb 1.770 5.041 2.857
Tb 5.203 3.004 0.091
Ho 1.735 1.001 5.699
Ho 5.226 1.001 5.699
Ho 3.480 4.025 5.699
In 3.480 2.009 2.897
```

=====

# 4
Tb2Ho5In3: relaxed, PBE-GGA.

Computed properties:
The formation energy from the elements comes out at -0.051 eV per atom.

Geometry as extended XYZ:
```
20
Lattice="-6.276 7.551 3.281 6.276 -7.551 3.281 6.276 7.551 -3.281" Properties=species:S:1:pos:R:3 pbc="T T T"
Tb 1.871 3.027 0.000
Tb 8.146 4.523 0.000
Tb -1.871 3.027 3.281
Tb 4.405 4.523 3.281
Ho 5.318 2.421 0.000
Ho 0.000 0.000 1.640
Ho 3.244 0.000 1.640
Ho 9.308 0.000 1.640
Ho 5.318 -2.421 3.281
Ho 0.958 9.972 0.000
Ho -3.032 7.551 1.640
Ho 3.032 7.551 1.640
Ho 0.000 0.000 4.921
Ho 0.958 5.130 3.281
In 4.563 -5.319 3.281
In 6.276 0.000 1.640
In 4.563 5.319 0.000
In 1.713 2.232 3.281
In 0.000 7.551 1.640
In 1.713 12.869 0.000
```

=====

- Among the records above, which one has the lowest formation energy from the elements?
  Tb3HoIn3